# 1
Computed, not measured: an optimized crystal structure of Pm5Sb2Pb at the GGA-PBE level of DFT.

Structure (CIF):
```
data_Pm5Sb2Pb
_chemical_formula_sum 'Pm10 Sb4 Pb2'
_cell_length_a 7.133
_cell_length_b 7.133
_cell_length_c 9.161
_cell_angle_alpha 90.00
_cell_angle_beta 90.00
_cell_angle_gamma 90.00
_space_group_name_H-M_alt 'I 4/m m m'
_space_group_IT_number 139
_space_group_name_Hall '-I 4 2'
loop_
_atom_site_label
_atom_site_type_symbol
_atom_site_fract_x
_atom_site_fract_y
_atom_site_fract_z
Pm1 Pm 0.000 0.000 0.000
Pm2 Pm 0.250 0.250 0.250
Sb1 Sb 0.000 0.500 0.000
Pb1 Pb 0.000 0.000 0.500
```

density	8.38	g cm⁻³
N(E_F)	0.74	states/eV per atom
formation energy without anion corrections	-0.5855	eV/atom
volume	29.13	Å³/atom

---

# 2
Computed, not measured: an optimized crystal structure of Ho4Er3Pu at the GGA-PBE level of DFT.

Structure (CIF):
```
data_Ho4Er3Pu
_chemical_formula_sum 'Ho8 Er6 Pu2'
_cell_length_a 11.166
_cell_length_b 7.119
_cell_length_c 6.140
_cell_angle_alpha 90.00
_cell_angle_beta 90.00
_cell_angle_gamma 90.00
_space_group_name_H-M_alt 'P m n 21'
_space_group_IT_number 31
loop_
_space_group_symop_operation_xyz
'x,y,z'
'-x+1/2,-y,z+1/2'
'-x,y,z'
'x+1/2,-y,z+1/2'
loop_
_atom_site_label
_atom_site_type_symbol
_atom_site_fract_x
_atom_site_fract_y
_atom_site_fract_z
Ho1 Ho 0.000 0.127 0.000
Ho2 Ho 0.000 0.872 0.500
Ho3 Ho 0.248 0.872 0.840
Er1 Er 0.000 0.380 0.503
Er2 Er 0.250 0.377 0.832
Pu1 Pu 0.000 0.625 0.000
```

density	9.56	g cm⁻³
energy relative to the elements	32	kJ/mol of formula units
N(E_F)	2.30	states/eV per atom
ΔE to the lowest computed polymorph	0.000	eV/atom
volume	30.50	Å³/atom

---

# 3
Computed, not measured: an optimized crystal structure of Tb19Er4Th6 at the GGA-PBE level of DFT.

Structure (CIF):
```
data_Tb19Er4Th6
_chemical_formula_sum 'Tb38 Er8 Th12'
_cell_length_a 12.445
_cell_length_b 12.445
_cell_length_c 12.445
_cell_angle_alpha 90.00
_cell_angle_beta 90.00
_cell_angle_gamma 90.00
_space_group_name_H-M_alt 'I 2 3'
_space_group_IT_number 197
_space_group_name_Hall 'I 2 2 3'
loop_
_atom_site_label
_atom_site_type_symbol
_atom_site_fract_x
_atom_site_fract_y
_atom_site_fract_z
Tb1 Tb 0.000 0.000 0.000
Tb2 Tb 0.000 0.000 0.265
Tb3 Tb 0.066 0.258 0.278
Er1 Er 0.178 0.178 0.822
Th1 Th 0.000 0.370 0.500
```

density	8.76	g cm⁻³
energy relative to the elements	1156	kJ/mol of formula units
N(E_F)	1.48	states/eV per atom
volume	33.23	Å³/atom

---

# 4
Computed, not measured: an optimized crystal structure of Pr4SnHg at the GGA-PBE level of DFT.

Structure (CIF):
```
data_Pr4SnHg
_chemical_formula_sum 'Pr4 Sn1 Hg1'
_cell_length_a 5.309
_cell_length_b 5.320
_cell_length_c 7.551
_cell_angle_alpha 90.00
_cell_angle_beta 90.00
_cell_angle_gamma 90.00
_space_group_name_H-M_alt 'P m m m'
_space_group_IT_number 47
loop_
_space_group_symop_operation_xyz
'x,y,z'
'-x,-y,-z'
'-x,-y,z'
'x,y,-z'
'x,-y,-z'
'-x,y,z'
'-x,y,-z'
'x,-y,z'
loop_
_atom_site_label
_atom_site_type_symbol
_atom_site_fract_x
_atom_site_fract_y
_atom_site_fract_z
Pr1 Pr 0.000 0.000 0.242
Pr2 Pr 0.500 0.500 0.243
Sn1 Sn 0.500 0.000 0.500
Hg1 Hg 0.000 0.500 0.000
```

density	6.87	g cm⁻³
energy relative to the elements	-151	kJ/mol of formula units
N(E_F)	1.42	states/eV per atom
volume	35.55	Å³/atom

---

# 5
Computed, not measured: an optimized crystal structure of K2ScW at the GGA-PBE level of DFT.

Structure (CIF):
```
data_K2ScW
_chemical_formula_sum 'K4 Sc2 W2'
_cell_length_a 21.572
_cell_length_b 3.095
_cell_length_c 4.599
_cell_angle_alpha 90.00
_cell_angle_beta 102.26
_cell_angle_gamma 90.00
_space_group_name_H-M_alt 'C 1 2/m 1'
_space_group_IT_number 12
loop_
_space_group_symop_operation_xyz
'x,y,z'
'-x,-y,-z'
'-x,y,-z'
'x,-y,z'
'x+1/2,y+1/2,z'
'-x+1/2,-y+1/2,-z'
'-x+1/2,y+1/2,-z'
'x+1/2,-y+1/2,z'
loop_
_atom_site_label
_atom_site_type_symbol
_atom_site_fract_x
_atom_site_fract_y
_atom_site_fract_z
K1 K 0.152 0.000 0.152
Sc1 Sc 0.000 0.000 0.500
W1 W 0.000 0.500 0.000
```

density	3.40	g cm⁻³
energy relative to the elements	363	kJ/mol of formula units
N(E_F)	0.97	states/eV per atom
ΔE to the lowest computed polymorph	0.050	eV/atom
volume	37.50	Å³/atom

---

# 6
Computed, not measured: an optimized crystal structure of Ba2TbCu2S4 at the GGA-PBE level of DFT.

Structure (CIF):
```
data_Ba2TbCu2S4
_chemical_formula_sum 'Ba4 Tb2 Cu4 S8'
_cell_length_a 14.811
_cell_length_b 3.985
_cell_length_c 7.361
_cell_angle_alpha 90.00
_cell_angle_beta 110.10
_cell_angle_gamma 90.00
_space_group_name_H-M_alt 'C 1 2/m 1'
_space_group_IT_number 12
loop_
_space_group_symop_operation_xyz
'x,y,z'
'-x,-y,-z'
'-x,y,-z'
'x,-y,z'
'x+1/2,y+1/2,z'
'-x+1/2,-y+1/2,-z'
'-x+1/2,y+1/2,-z'
'x+1/2,-y+1/2,z'
loop_
_atom_site_label
_atom_site_type_symbol
_atom_site_fract_x
_atom_site_fract_y
_atom_site_fract_z
Ba1 Ba 0.135 0.000 0.066
Tb1 Tb 0.000 0.000 0.500
Cu1 Cu 0.179 0.500 0.493
S1 S 0.023 0.500 0.256
S2 S 0.200 0.000 0.681
```

density	5.61	g cm⁻³
N(E_F)	0.43	states/eV per atom
formation energy without anion corrections	-1.3687	eV/atom
volume	22.67	Å³/atom

---

# 7
Computed, not measured: an optimized crystal structure of CePmCdOs at the GGA-PBE level of DFT.

Structure (CIF):
```
data_CePmCdOs
_chemical_formula_sum 'Ce1 Pm1 Cd1 Os1'
_cell_length_a 3.380
_cell_length_b 3.380
_cell_length_c 8.587
_cell_angle_alpha 90.00
_cell_angle_beta 90.00
_cell_angle_gamma 90.00
_space_group_name_H-M_alt 'P 4 m m'
_space_group_IT_number 99
loop_
_space_group_symop_operation_xyz
'x,y,z'
'-y,x,z'
'-x,-y,z'
'y,-x,z'
'-x,y,z'
'y,x,z'
'x,-y,z'
'-y,-x,z'
loop_
_atom_site_label
_atom_site_type_symbol
_atom_site_fract_x
_atom_site_fract_y
_atom_site_fract_z
Ce1 Ce 0.000 0.000 0.000
Pm1 Pm 0.000 0.000 0.413
Cd1 Cd 0.500 0.500 0.704
Os1 Os 0.500 0.500 0.197
```

density	9.95	g cm⁻³
energy relative to the elements	-75	kJ/mol of formula units
N(E_F)	1.30	states/eV per atom
ΔE to the lowest computed polymorph	0.000	eV/atom
volume	24.53	Å³/atom

---

# 8
Computed, not measured: an optimized crystal structure of Re2OsBr at the GGA-PBE level of DFT.

Structure (CIF):
```
data_Re2OsBr
_chemical_formula_sum 'Re4 Os2 Br2'
_cell_length_a 5.288
_cell_length_b 8.269
_cell_length_c 2.889
_cell_angle_alpha 90.00
_cell_angle_beta 93.55
_cell_angle_gamma 90.00
_space_group_name_H-M_alt 'C 1 2/m 1'
_space_group_IT_number 12
loop_
_space_group_symop_operation_xyz
'x,y,z'
'-x,-y,-z'
'-x,y,-z'
'x,-y,z'
'x+1/2,y+1/2,z'
'-x+1/2,-y+1/2,-z'
'-x+1/2,y+1/2,-z'
'x+1/2,-y+1/2,z'
loop_
_atom_site_label
_atom_site_type_symbol
_atom_site_fract_x
_atom_site_fract_y
_atom_site_fract_z
Re1 Re 0.250 0.250 0.000
Os1 Os 0.000 0.000 0.500
Br1 Br 0.000 0.500 0.500
```

density	16.93	g cm⁻³
N(E_F)	0.95	states/eV per atom
ΔE to the lowest computed polymorph	0.638	eV/atom
formation energy without anion corrections	1.3432	eV/atom
volume	15.76	Å³/atom

---

# 9
Computed, not measured: an optimized crystal structure of Fe2TcSb at the GGA-PBE level of DFT.

Structure (CIF):
```
data_Fe2TcSb
_chemical_formula_sum 'Fe4 Tc2 Sb2'
_cell_length_a 3.124
_cell_length_b 4.310
_cell_length_c 8.825
_cell_angle_alpha 90.00
_cell_angle_beta 90.00
_cell_angle_gamma 90.00
_space_group_name_H-M_alt 'I m m m'
_space_group_IT_number 71
_space_group_name_Hall '-I 2 2'
loop_
_atom_site_label
_atom_site_type_symbol
_atom_site_fract_x
_atom_site_fract_y
_atom_site_fract_z
Fe1 Fe 0.000 0.000 0.247
Tc1 Tc 0.000 0.500 0.500
Sb1 Sb 0.000 0.500 0.000
```

density	9.26	g cm⁻³
N(E_F)	0.82	states/eV per atom
formation energy without anion corrections	0.2497	eV/atom
volume	14.85	Å³/atom

---

# 10
Computed, not measured: an optimized crystal structure of Pm2PrSmMg at the GGA-PBE level of DFT.

Structure (CIF):
```
data_Pm2PrSmMg
_chemical_formula_sum 'Pm4 Pr2 Sm2 Mg2'
_cell_length_a 6.179
_cell_length_b 5.781
_cell_length_c 9.655
_cell_angle_alpha 90.00
_cell_angle_beta 108.56
_cell_angle_gamma 90.00
_space_group_name_H-M_alt 'P 1 21/m 1'
_space_group_IT_number 11
loop_
_space_group_symop_operation_xyz
'x,y,z'
'-x,-y,-z'
'-x,y+1/2,-z'
'x,-y+1/2,z'
loop_
_atom_site_label
_atom_site_type_symbol
_atom_site_fract_x
_atom_site_fract_y
_atom_site_fract_z
Pm1 Pm 0.103 0.250 0.313
Pm2 Pm 0.126 0.750 0.092
Pr1 Pr 0.465 0.250 0.091
Sm1 Sm 0.291 0.250 0.687
Mg1 Mg 0.313 0.750 0.499
```

density	6.15	g cm⁻³
energy relative to the elements	7	kJ/mol of formula units
N(E_F)	1.30	states/eV per atom
volume	32.69	Å³/atom

---

# 11
Computed, not measured: an optimized crystal structure of Ba2HgC at the GGA-PBE level of DFT.

Structure (CIF):
```
data_Ba2HgC
_chemical_formula_sum 'Ba8 Hg4 C4'
_cell_length_a 8.295
_cell_length_b 8.295
_cell_length_c 8.515
_cell_angle_alpha 90.00
_cell_angle_beta 90.00
_cell_angle_gamma 90.00
_space_group_name_H-M_alt 'I -4 2 d'
_space_group_IT_number 122
_space_group_name_Hall 'I -4 2bw'
loop_
_atom_site_label
_atom_site_type_symbol
_atom_site_fract_x
_atom_site_fract_y
_atom_site_fract_z
Ba1 Ba 0.161 0.750 0.125
Hg1 Hg 0.000 0.000 0.500
C1 C 0.000 0.000 0.000
```

density	5.52	g cm⁻³
energy relative to the elements	188	kJ/mol of formula units
N(E_F)	1.61	states/eV per atom
ΔE to the lowest computed polymorph	0.677	eV/atom
volume	36.62	Å³/atom

---

# 12
Computed, not measured: an optimized crystal structure of La2HfCd at the GGA-PBE level of DFT.

Structure (CIF):
```
data_La2HfCd
_chemical_formula_sum 'La6 Hf3 Cd3'
_cell_length_a 3.2634
_cell_length_b 3.2634
_cell_length_c 36.6094
_cell_angle_alpha 90.00
_cell_angle_beta 90.00
_cell_angle_gamma 120.00
_space_group_name_H-M_alt 'R -3 m'
_space_group_IT_number 166
_space_group_name_Hall '-R 3 2"'
loop_
_atom_site_label
_atom_site_type_symbol
_atom_site_fract_x
_atom_site_fract_y
_atom_site_fract_z
La1 La 0.0000 0.0000 0.0853
Hf1 Hf 0.0000 0.0000 0.0000
Cd1 Cd 0.0000 0.0000 0.5000
```

density	8.39	g cm⁻³
energy relative to the elements	111	kJ/mol of formula units
N(E_F)	1.21	states/eV per atom
volume	28.14	Å³/atom

---

What is the volume in the tenth record?
32.69 Å³/atom

---

density of number 10 (Pm2PrSmMg)?
6.15 g cm⁻³